Crystalline LaPPdCl2 at its relaxed geometry. Source: Alexandria, functional PBE.

Summary:
Total magnetic moment (μB/atom): 0.407
Uncorrected formation energy (eV per atom): -0.38
VASP energy (eV for the cell shown): -21.10
Energy above the most stable polymorph in this dataset (eV/f.u.): 2.17
N(E_F) (states/eV/f.u.): 2.59

Cell lengths 5.4605, 5.4605, 5.9220 Å; angles 90.00, 90.00, 90.00 degrees
Element x y z (fractional)
La  0.0000  0.0000  0.0000
P  0.0000  0.0000  0.5000
Pd  0.5000  0.5000  0.5000
Cl  0.0000  0.5000  0.0000
Cl  0.5000  0.0000  0.0000

***

Crystalline LaPPdCl2 at its relaxed geometry. Source: Alexandria, functional PBE.

Summary:
Total magnetic moment (μB/atom): 0.000
Uncorrected formation energy (eV per atom): -0.81
VASP energy (eV for the cell shown): -23.27
Energy above the most stable polymorph in this dataset (eV/f.u.): 0.00
N(E_F) (states/eV/f.u.): 0.72

Cell lengths 4.7468, 4.7468, 5.0335 Å; angles 90.00, 90.00, 90.00 degrees
Element x y z (fractional)
La  0.0000  0.0000  0.0000
P  0.5000  0.5000  0.0000
Pd  0.5000  0.5000  0.5000
Cl  0.0000  0.5000  0.5000
Cl  0.5000  0.0000  0.5000

***

Crystalline La6PPd2Cl3 at its relaxed geometry. Source: Alexandria, functional PBE.

Summary:
Total magnetic moment (μB/atom): 0.000
Uncorrected formation energy (eV per atom): -1.33
VASP energy (eV for the cell shown): -66.83
N(E_F) (states/eV/f.u.): 7.99

Cell lengths 7.4107, 7.4107, 7.3331 Å; angles 99.65, 99.65, 120.09 degrees
Element x y z (fractional)
La  0.0812  0.4077  0.2372
La  0.2470  0.2470  0.7612
La  0.4077  0.0812  0.2372
La  0.5923  0.9188  0.7628
La  0.7530  0.7530  0.2388
La  0.9188  0.5923  0.7628
P  0.0000  0.0000  0.0000
Pd  0.3331  0.6669  0.0000
Pd  0.6669  0.3331  0.0000
Cl  0.1656  0.8344  0.5000
Cl  0.5000  0.5000  0.5000
Cl  0.8344  0.1656  0.5000

***

Look up the total magnetic moment of the third one.
0.000 μB/atom